--- w ---
This record from the Alexandria database describes a relaxed NiWF3 crystal. The functional is PBE with a Hubbard U.

```
data_NiWF3
_cell_length_a 4.331
_cell_length_b 4.331
_cell_length_c 4.331
_cell_angle_alpha 90.00
_cell_angle_beta 90.00
_cell_angle_gamma 90.00
_space_group_name_H-M_alt 'P m -3 m'
_space_group_IT_number 221
_space_group_name_Hall '-P 4 2 3'
loop_
_atom_site_label
_atom_site_fract_x
_atom_site_fract_y
_atom_site_fract_z
Ni1 0.000 0.000 0.000
W1 0.500 0.500 0.500
F1 0.000 0.500 0.500
```

Summary:
Its density of states at the Fermi level is 0.39 states/eV/f.u.

---

--- x ---
This record from the Alexandria database describes a relaxed NiWF3 crystal. The functional is PBE with a Hubbard U.

```
data_NiWF3
_cell_length_a 4.034
_cell_length_b 4.034
_cell_length_c 4.034
_cell_angle_alpha 90.00
_cell_angle_beta 90.00
_cell_angle_gamma 90.00
_space_group_name_H-M_alt 'P m -3 m'
_space_group_IT_number 221
_space_group_name_Hall '-P 4 2 3'
loop_
_atom_site_label
_atom_site_fract_x
_atom_site_fract_y
_atom_site_fract_z
Ni1 0.000 0.000 0.000
W1 0.500 0.500 0.500
F1 0.000 0.000 0.500
```

Summary:
Its density of states at the Fermi level is 5.99 states/eV/f.u.

---

The data favor w; the next most stable structure lies 730 meV per atom above it.

---

--- w ---
This record from the Alexandria database describes a relaxed NiW2F crystal. The functional is PBE with a Hubbard U.

```
data_NiW2F
_cell_length_a 5.981
_cell_length_b 5.981
_cell_length_c 5.981
_cell_angle_alpha 90.00
_cell_angle_beta 90.00
_cell_angle_gamma 90.00
_space_group_name_H-M_alt 'F m -3 m'
_space_group_IT_number 225
_space_group_name_Hall '-F 4 2 3'
loop_
_atom_site_label
_atom_site_fract_x
_atom_site_fract_y
_atom_site_fract_z
Ni1 0.000 0.000 0.000
W1 0.250 0.250 0.250
F1 0.000 0.000 0.500
```

Summary:
Its density of states at the Fermi level is 3.47 states/eV/f.u.

---

--- x ---
This record from the Alexandria database describes a relaxed NiW2F crystal. The functional is PBE with a Hubbard U.

```
data_NiW2F
_cell_length_a 6.368
_cell_length_b 6.368
_cell_length_c 5.654
_cell_angle_alpha 90.00
_cell_angle_beta 90.00
_cell_angle_gamma 90.00
_space_group_name_H-M_alt 'I -4 2 d'
_space_group_IT_number 122
_space_group_name_Hall 'I -4 2bw'
loop_
_atom_site_label
_atom_site_fract_x
_atom_site_fract_y
_atom_site_fract_z
Ni1 0.000 0.000 0.000
W1 0.227 0.250 0.625
F1 0.000 0.000 0.500
```

Summary:
Its density of states at the Fermi level is 1.36 states/eV/f.u.

---

The data favor w; the next most stable structure lies 71 meV per atom above it.